(1)
! LaCdAg (GGA-PBE, relaxed); values from VASP
&SYSTEM
  ibrav = 0, nat = 3, ntyp = 3
/
ATOMIC_SPECIES
La 138.91 La.upf
Cd 112.41 Cd.upf
Ag 107.87 Ag.upf
CELL_PARAMETERS angstrom
3.505 0.000 0.000
-1.752 3.035 0.000
0.000 0.000 7.450
ATOMIC_POSITIONS angstrom
La 0.000 0.000 0.000
Cd 0.000 2.023 4.675
Ag 1.752 1.012 2.586
! - D(E_F): 2.42 states/eV per cell
! - VASP energy: -2.9226 eV/atom
! - Space group: P3m1 (156)
! - Calculated volume: 26.42 A^3/atom
! - Energy of formation from the pure elements: -0.025 eV per atom

=====

(2)
! Er8GeTe4Se3 (GGA-PBE, relaxed); values from VASP
&SYSTEM
  ibrav = 0, nat = 16, ntyp = 4
/
ATOMIC_SPECIES
Er 167.26 Er.upf
Ge 72.64 Ge.upf
Te 127.60 Te.upf
Se 78.96 Se.upf
CELL_PARAMETERS angstrom
4.157 2.400 6.989
-4.157 2.400 6.989
0.000 -4.800 6.989
ATOMIC_POSITIONS angstrom
Er 0.000 0.000 4.997
Er -2.037 -1.176 11.993
Er 0.000 -2.352 8.975
Er -2.037 1.176 8.975
Er 2.037 -1.176 11.993
Er 0.000 2.352 11.993
Er 2.037 1.176 8.975
Er 0.000 0.000 15.971
Ge 0.000 0.000 10.484
Te 0.000 0.000 0.000
Te -2.079 -1.200 6.989
Te -2.079 1.200 13.979
Te 0.000 2.400 6.989
Se -4.157 0.000 10.484
Se -2.079 1.200 3.495
Se 2.079 1.200 3.495
! - D(E_F): 4.86 states/eV per cell
! - E_form (uncorrected): -1.4265 eV per atom
! - VASP energy: -5.4353 eV/atom
! - Space group: R-3m (166)
! - Calculated volume: 26.15 A^3/atom

=====

(3)
! Ac2PuBi (GGA-PBE, relaxed); values from VASP
&SYSTEM
  ibrav = 0, nat = 4, ntyp = 3
/
ATOMIC_SPECIES
Ac 227.00 Ac.upf
Pu 244.00 Pu.upf
Bi 208.98 Bi.upf
CELL_PARAMETERS angstrom
0.000 4.166 4.166
4.166 0.000 4.166
4.166 4.166 0.000
ATOMIC_POSITIONS angstrom
Ac 2.083 2.083 2.083
Ac 6.250 6.250 6.250
Pu 0.000 0.000 0.000
Bi 4.166 4.166 4.166
! - D(E_F): 21.64 states/eV per cell
! - VASP energy: -6.6726 eV/atom
! - Space group: Fm-3m (225)
! - Calculated volume: 36.16 A^3/atom
! - Energy of formation from the pure elements: -0.065 eV per atom

=====

(4)
! Zr2As2Se (GGA-PBE, relaxed); values from VASP
&SYSTEM
  ibrav = 0, nat = 10, ntyp = 3
/
ATOMIC_SPECIES
Zr 91.22 Zr.upf
As 74.92 As.upf
Se 78.96 Se.upf
CELL_PARAMETERS angstrom
7.425 0.000 0.000
0.000 7.425 0.000
0.000 0.000 3.644
ATOMIC_POSITIONS angstrom
Zr 1.195 2.517 0.000
Zr 2.517 6.230 0.000
Zr 4.908 1.195 0.000
Zr 6.230 4.908 0.000
As 0.992 4.705 1.822
As 2.721 0.992 1.822
As 4.705 6.433 1.822
As 6.433 2.721 1.822
Se 0.000 0.000 0.000
Se 3.713 3.713 0.000
! - D(E_F): 3.11 states/eV per cell
! - E_form (uncorrected): -1.0030 eV per atom
! - VASP energy: -6.9790 eV/atom
! - Space group: P4/mbm (127)
! - Calculated volume: 20.09 A^3/atom